Material: BaH2I
Method: DFT, PBE
State: optimized geometry

Summary:
D(E_F): 0.3151 states/eV per atom
DFT total energy: -0.2073 Ry per atom

```
BaH2I
1.0
-0.182 -4.795 1.286
1.045 -1.363 4.662
-3.622 -1.637 2.980
I H Ba
1 2 1
Cartesian
0.000 0.000 0.000
-0.690 -1.949 2.232
-2.069 -5.846 6.696
-1.379 -3.898 4.464
```

Material: BaH4I2
Method: DFT, PBE
State: optimized geometry

Summary:
D(E_F): 0.0212 states/eV per atom
DFT total energy: -0.1937 Ry per atom

```
BaH4I2
1.0
5.194 0.000 -2.598
-1.300 5.029 -2.598
-0.259 -0.334 5.973
Ba H I
1 4 2
Cartesian
0.000 0.000 0.000
2.132 1.798 -2.228
1.762 3.231 -2.969
2.687 2.514 -2.969
1.207 2.514 -2.228
3.441 1.090 0.388
0.194 3.605 0.388
```

Material: Ba12H5I3
Method: DFT, PBE
State: optimized geometry

Summary:
D(E_F): 1.2260 states/eV per atom
DFT total energy: -0.1959 Ry per atom

```
Ba12H5I3
1.0
16.070 0.000 0.000
-5.357 15.151 0.000
-5.357 -7.575 13.121
I H Ba
12 20 48
Cartesian
9.374 4.735 1.640
9.374 10.416 1.640
-1.339 6.628 8.201
1.339 -0.947 4.920
12.052 0.000 3.280
1.339 7.575 3.280
4.017 0.000 9.841
-6.696 7.575 9.841
4.017 8.522 8.201
6.696 0.947 4.920
-4.017 -2.841 11.481
-4.017 2.841 11.481
-1.339 3.788 3.280
-2.678 7.575 0.000
0.000 0.000 0.000
4.017 2.841 1.640
5.357 -3.788 6.560
5.357 7.575 0.000
-4.017 8.522 4.920
6.696 -4.735 11.481
6.696 6.628 4.920
1.339 -3.788 9.841
4.017 11.363 3.280
2.678 3.788 6.560
8.035 0.000 0.000
-2.678 -3.788 6.560
-1.339 0.947 8.201
-1.339 12.310 1.640
-5.357 3.788 6.560
9.374 -0.947 8.201
1.339 4.735 11.481
6.696 3.788 9.841
10.685 1.596 0.178
0.028 4.739 5.267
12.204 3.655 3.847
6.544 2.283 1.471
2.057 5.457 9.096
11.611 7.605 2.536
-1.491 8.947 5.318
-3.866 12.867 1.471
0.622 9.694 9.096
7.137 7.546 2.536
8.063 4.432 5.089
8.063 13.555 0.178
-4.735 6.818 6.738
3.576 5.365 1.242
-5.385 10.719 5.089
2.707 -2.836 7.854
-0.622 1.361 2.713
3.576 9.756 1.294
6.544 11.495 3.847
-0.898 5.394 1.294
-3.300 8.937 10.408
4.169 6.203 5.318
7.413 8.333 6.738
6.254 -2.211 11.879
1.188 1.372 7.802
-2.057 -0.757 6.383
-0.898 9.786 1.242
-1.188 -3.920 9.273
8.656 -1.361 2.713
6.254 2.181 11.827
1.781 -2.181 11.827
2.650 10.411 5.267
5.978 6.214 10.408
10.742 -3.143 8.031
10.092 0.757 6.383
-2.707 -5.979 12.943
1.781 2.211 11.879
4.735 -2.119 4.025
-1.781 0.030 10.585
-2.707 3.143 8.031
9.222 -5.292 11.650
6.847 -1.372 7.802
-1.188 5.292 11.650
-6.254 -0.030 10.585
3.300 2.119 4.025
-6.847 3.920 9.273
5.328 2.836 7.854
-5.328 5.979 12.943
```

Material: BaH2I
Method: DFT, PBE
State: optimized geometry

Summary:
D(E_F): 0.4732 states/eV per atom
DFT total energy: -0.2282 Ry per atom

```
BaH2I
1.0
-0.761 -5.419 -0.054
-2.359 0.380 -4.941
5.201 -0.746 1.584
Ba H I
1 2 1
Cartesian
1.459 -2.955 -1.344
-0.257 -2.694 -3.367
-0.787 -2.625 -2.742
-1.768 0.292 -4.431
```

Material: BaH4I
Method: DFT, PBE
State: optimized geometry

Summary:
D(E_F): 0.1653 states/eV per atom
DFT total energy: -0.1959 Ry per atom

```
BaH4I
1.0
3.806 0.639 0.288
1.066 6.937 2.527
0.421 0.731 8.827
Ba H I
2 8 2
Cartesian
3.892 6.717 4.675
1.401 1.590 6.967
2.279 4.538 4.486
1.302 5.898 2.167
4.677 7.387 8.490
3.626 6.956 11.115
3.014 3.768 7.155
0.616 0.920 3.152
3.991 2.409 9.475
1.666 1.350 0.526
3.351 3.064 3.922
1.941 5.243 7.719
```

Material: BaHI2
Method: DFT, PBE
State: optimized geometry

Summary:
D(E_F): 0.0000 states/eV per atom
DFT total energy: -0.2339 Ry per atom

```
BaHI2
1.0
10.372 0.000 0.000
0.000 4.727 0.000
-0.765 0.000 12.615
I H Ba
8 4 4
Cartesian
9.631 0.000 2.637
9.248 2.364 8.945
1.085 0.000 6.004
0.703 2.364 12.312
6.851 0.000 11.887
7.234 2.364 5.579
4.564 0.000 2.912
4.181 2.364 9.220
0.081 0.000 4.349
-0.301 2.364 10.657
4.639 0.000 6.561
5.021 2.364 0.253
3.377 0.000 11.978
3.759 2.364 5.670
6.683 0.000 8.153
7.066 2.364 1.845
```

Material: BaHI
Method: DFT, PBE
State: optimized geometry

Summary:
D(E_F): 0.0000 states/eV per atom
DFT total energy: -0.2567 Ry per atom

```
BaHI
1.0
4.741 0.000 0.000
0.000 4.741 0.000
0.000 0.000 7.903
Ba H I
2 2 2
Cartesian
1.185 1.185 1.361
3.556 3.556 6.542
3.556 1.185 0.000
1.185 3.556 0.000
1.185 1.185 5.213
3.556 3.556 2.690
```

Material: BaH2I
Method: DFT, PBE
State: optimized geometry

Summary:
D(E_F): 0.0000 states/eV per atom
DFT total energy: -0.2490 Ry per atom

```
BaH2I
1.0
-0.989 7.744 -1.807
-1.399 -1.141 -4.124
-10.914 -3.224 4.593
Ba H I
4 8 4
Cartesian
-9.531 -0.954 3.497
-4.774 0.087 -0.862
-2.484 5.955 -0.805
-8.640 3.773 -0.571
-8.918 4.901 1.669
-4.160 5.942 -2.690
-2.888 0.448 0.856
-9.044 -1.734 1.090
-4.210 3.073 0.578
-10.366 0.891 0.812
-3.573 2.668 0.474
-9.729 0.485 0.708
-6.860 1.667 1.865
-2.102 2.708 -2.493
-5.821 5.743 0.385
-11.977 3.560 0.620
```

Material: BaH3I
Method: DFT, PBE
State: optimized geometry

Summary:
D(E_F): 0.3805 states/eV per atom
DFT total energy: -0.1786 Ry per atom

```
BaH3I
1.0
4.824 0.000 0.000
0.000 4.824 0.000
0.000 0.000 4.824
I H Ba
1 3 1
Cartesian
2.412 2.412 2.412
0.000 2.412 0.000
0.000 0.000 2.412
2.412 0.000 0.000
0.000 0.000 0.000
```

Material: Ba4HI2
Method: DFT, PBE
State: optimized geometry

Summary:
D(E_F): 0.8130 states/eV per atom
DFT total energy: -0.1972 Ry per atom

```
Ba4HI2
1.0
5.186 0.000 0.000
0.000 5.186 0.000
-2.593 -2.593 10.327
I H Ba
2 1 4
Cartesian
2.593 2.593 2.586
0.000 0.000 7.741
0.000 0.000 0.000
2.593 2.593 6.529
0.000 0.000 3.798
0.000 2.593 0.000
2.593 0.000 0.000
```

Material: BaH2I
Method: DFT, PBE
State: optimized geometry

Summary:
D(E_F): 0.0000 states/eV per atom
DFT total energy: -0.2494 Ry per atom

```
BaH2I
1.0
7.502 0.000 0.000
0.000 4.703 0.000
-2.725 0.000 12.247
Ba H I
4 8 4
Cartesian
1.537 0.000 3.181
0.174 2.352 9.305
4.908 0.000 7.361
6.270 2.352 1.237
-0.184 0.000 1.267
-1.546 2.352 7.390
-0.891 0.000 9.257
0.471 2.352 3.133
1.782 0.000 10.640
3.145 2.352 4.517
1.139 0.000 11.045
2.501 2.352 4.922
1.366 0.000 6.782
2.728 2.352 0.658
5.125 0.000 3.796
3.763 2.352 9.920
```

Material: BaH4I3
Method: DFT, PBE
State: optimized geometry

Summary:
D(E_F): 0.2080 states/eV per atom
DFT total energy: -0.2266 Ry per atom

```
BaH4I3
1.0
-0.421 1.573 -4.400
-5.138 -2.948 -0.562
1.505 9.169 5.636
Ba H I
1 4 3
Cartesian
0.000 0.000 0.000
-0.482 6.894 0.010
-3.572 0.900 0.664
-0.865 6.273 -0.176
-3.189 1.522 0.850
-3.128 4.709 1.983
-0.926 3.085 -1.310
-2.779 -0.687 -2.481
```